No. 1
Th3Ga7Ru2 | Alexandria via LeMat-Bulk | GGA-PBE | relaxed; symmetry = Cmmm; E_form = -8.8 kcal/mol of atoms; total magnetic moment = 0.000 μB per formula unit
1.0
2.327 -11.649 0.000
2.327 11.649 0.000
0.000 0.000 4.690
Th Ga Ru
3 7 2
direct
0.000 0.000 0.000
0.183 0.817 0.000
0.817 0.183 0.000
0.091 0.909 0.500
0.282 0.718 0.500
0.409 0.591 0.000
0.500 0.500 0.500
0.591 0.409 0.000
0.718 0.282 0.500
0.909 0.091 0.500
0.390 0.610 0.500
0.610 0.390 0.500

---

No. 2
Th7Ga2Ru2 | Alexandria via LeMat-Bulk | GGA-PBE | relaxed; symmetry = Cmmm; E_form = -4.4 kcal/mol of atoms; total magnetic moment = 0.000 μB per formula unit
1.0
4.055 -5.529 0.000
4.055 5.529 0.000
0.000 0.000 6.960
Th Ga Ru
7 2 2
direct
0.000 0.000 0.000
0.000 0.500 0.270
0.000 0.500 0.730
0.500 0.000 0.270
0.500 0.000 0.730
0.500 0.500 0.253
0.500 0.500 0.747
0.162 0.162 0.500
0.838 0.838 0.500
0.265 0.735 0.000
0.735 0.265 0.000

---

No. 3
Th2GaRu | Alexandria via LeMat-Bulk | GGA-PBE | relaxed; symmetry = P4/mmm; E_form = -8.5 kcal/mol of atoms; total magnetic moment = 0.000 μB per formula unit
1.0
3.686 0.000 0.000
0.000 3.686 0.000
0.000 0.000 6.997
Th Ga Ru
2 1 1
direct
0.000 0.000 0.234
0.000 0.000 0.766
0.500 0.500 0.500
0.500 0.500 0.000

---

No. 4
Th2GaRu | Alexandria via LeMat-Bulk | GGA-PBE | relaxed; symmetry = R-3m; E_form = -8.4 kcal/mol of atoms; total magnetic moment = 0.000 μB per formula unit
1.0
2.007 1.159 7.682
-2.007 1.159 7.682
0.000 -2.317 7.682
Th Ga Ru
2 1 1
direct
0.237 0.237 0.237
0.763 0.763 0.763
0.000 0.000 0.000
0.500 0.500 0.500

---

No. 5
ThGa3Ru | Alexandria via LeMat-Bulk | GGA-PBE | relaxed; symmetry = P2_1/m; E_form = -9.6 kcal/mol of atoms; total magnetic moment = 0.000 μB per formula unit; energy relative to the lowest polymorph listed for this composition = 0.06 kcal/mol of atoms
1.0
4.536 0.000 0.000
0.000 6.471 0.000
-0.261 0.000 6.758
Th Ga Ru
2 6 2
direct
0.209 0.250 0.307
0.791 0.750 0.693
0.278 0.750 0.395
0.314 0.054 0.836
0.314 0.446 0.836
0.686 0.554 0.164
0.686 0.946 0.164
0.722 0.250 0.605
0.150 0.750 0.033
0.850 0.250 0.967

---

No. 6
ThGa3Ru3 | Alexandria via LeMat-Bulk | GGA-PBE | relaxed; symmetry = Pm-3n; E_form = 7.0 kcal/mol of atoms; total magnetic moment = 0.000 μB per formula unit; energy relative to the lowest polymorph listed for this composition = 13.07 kcal/mol of atoms
1.0
6.670 0.000 0.000
0.000 6.670 0.000
0.000 0.000 6.670
Th Ga Ru
2 6 6
direct
0.000 0.000 0.000
0.500 0.500 0.500
0.000 0.250 0.500
0.000 0.750 0.500
0.250 0.500 0.000
0.500 0.000 0.250
0.500 0.000 0.750
0.750 0.500 0.000
0.000 0.500 0.250
0.000 0.500 0.750
0.250 0.000 0.500
0.500 0.250 0.000
0.500 0.750 0.000
0.750 0.000 0.500

---

No. 7
ThGa2Ru2 | Alexandria via LeMat-Bulk | GGA-PBE | relaxed; symmetry = Fddd; E_form = -8.0 kcal/mol of atoms; total magnetic moment = 0.000 μB per formula unit
1.0
0.000 4.656 7.052
2.913 0.000 7.052
2.913 4.656 0.000
Th Ga Ru
2 4 4
direct
0.125 0.125 0.125
0.875 0.875 0.875
0.268 0.268 0.482
0.482 0.482 0.268
0.518 0.518 0.732
0.732 0.732 0.518
0.155 0.595 0.155
0.405 0.845 0.405
0.595 0.155 0.595
0.845 0.405 0.845

---

No. 8
Th3Ga3Ru2 | Alexandria via LeMat-Bulk | GGA-PBE | relaxed; symmetry = Pnma; E_form = -12.7 kcal/mol of atoms; total magnetic moment = 0.000 μB per formula unit
1.0
8.199 0.000 0.000
0.000 15.528 0.000
0.000 0.000 5.510
Th Ga Ru
12 12 8
direct
0.031 0.110 0.114
0.031 0.390 0.114
0.173 0.250 0.623
0.327 0.750 0.123
0.469 0.610 0.614
0.469 0.890 0.614
0.531 0.110 0.386
0.531 0.390 0.386
0.673 0.250 0.877
0.827 0.750 0.377
0.969 0.610 0.886
0.969 0.890 0.886
0.177 0.750 0.617
0.188 0.033 0.608
0.188 0.467 0.608
0.312 0.533 0.108
0.312 0.967 0.108
0.323 0.250 0.117
0.677 0.750 0.883
0.688 0.033 0.892
0.688 0.467 0.892
0.812 0.533 0.392
0.812 0.967 0.392
0.823 0.250 0.383
0.088 0.612 0.360
0.088 0.888 0.360
0.412 0.112 0.860
0.412 0.388 0.860
0.588 0.612 0.140
0.588 0.888 0.140
0.912 0.112 0.640
0.912 0.388 0.640

---

No. 9
ThGa2Ru2 | Alexandria via LeMat-Bulk | GGA-PBE | relaxed; symmetry = I4/mmm; E_form = -11.9 kcal/mol of atoms; total magnetic moment = 0.000 μB per formula unit
1.0
-2.231 2.231 4.656
2.231 -2.231 4.656
2.231 2.231 -4.656
Th Ga Ru
1 2 2
direct
0.000 0.000 0.000
0.366 0.366 0.000
0.634 0.634 0.000
0.250 0.750 0.500
0.750 0.250 0.500

---

No. 10
Th2GaRu | Alexandria via LeMat-Bulk | GGA-PBE | relaxed; symmetry = P2_1/m; E_form = -12.2 kcal/mol of atoms; total magnetic moment = 0.000 μB per formula unit
1.0
6.157 0.000 0.000
0.000 3.967 0.000
-2.923 0.000 8.115
Th Ga Ru
4 2 2
direct
0.185 0.250 0.402
0.274 0.750 0.050
0.726 0.250 0.950
0.815 0.750 0.598
0.359 0.750 0.706
0.641 0.250 0.294
0.108 0.250 0.799
0.892 0.750 0.201

---

No. 11
Th2Ga2Ru3 | Alexandria via LeMat-Bulk | GGA-PBE | relaxed; symmetry = C2/m; E_form = -12.0 kcal/mol of atoms; total magnetic moment = 0.000 μB per formula unit
1.0
5.089 -2.210 0.000
5.089 2.210 0.000
-1.430 0.000 6.078
Th Ga Ru
2 2 3
direct
0.128 0.128 0.308
0.872 0.872 0.692
0.398 0.398 0.091
0.602 0.602 0.909
0.178 0.178 0.799
0.500 0.500 0.500
0.822 0.822 0.201

---

No. 12
Th2GaRu2 | Alexandria via LeMat-Bulk | GGA-PBE | relaxed; symmetry = P2_1/c; E_form = -10.3 kcal/mol of atoms; total magnetic moment = 0.000 μB per formula unit
1.0
9.984 0.000 0.000
0.000 5.982 0.000
-0.996 0.000 7.406
Th Ga Ru
8 4 8
direct
0.079 0.217 0.095
0.079 0.283 0.595
0.342 0.657 0.995
0.342 0.843 0.495
0.658 0.157 0.505
0.658 0.343 0.005
0.921 0.717 0.405
0.921 0.783 0.905
0.333 0.150 0.867
0.333 0.350 0.367
0.667 0.650 0.633
0.667 0.850 0.133
0.139 0.634 0.227
0.139 0.866 0.727
0.457 0.079 0.188
0.457 0.421 0.688
0.543 0.579 0.312
0.543 0.921 0.812
0.861 0.134 0.273
0.861 0.366 0.773

---

No. 13
Th3Ga4Ru2 | Alexandria via LeMat-Bulk | GGA-PBE | relaxed; symmetry = C2/m; E_form = -13.8 kcal/mol of atoms; total magnetic moment = 0.000 μB per formula unit
1.0
5.665 -2.128 0.000
5.665 2.128 0.000
-3.467 0.000 8.038
Th Ga Ru
3 4 2
direct
0.000 0.000 0.000
0.312 0.312 0.365
0.688 0.688 0.635
0.015 0.015 0.354
0.256 0.256 0.920
0.744 0.744 0.080
0.985 0.985 0.646
0.389 0.389 0.733
0.611 0.611 0.267

---

No. 14
TmThGaRu | Alexandria via LeMat-Bulk | GGA-PBE | relaxed; symmetry = F-43m; E_form = -9.3 kcal/mol of atoms; total magnetic moment = 0.000 μB per formula unit
1.0
0.000 3.545 3.545
3.545 0.000 3.545
3.545 3.545 0.000
Tm Th Ga Ru
1 1 1 1
direct
0.000 0.000 0.000
0.500 0.500 0.500
0.250 0.250 0.250
0.750 0.750 0.750

---

No. 15
Th2UGaRu6 | Alexandria via LeMat-Bulk | GGA-PBE | relaxed; symmetry = C2/m; E_form = -0.4 kcal/mol of atoms; total magnetic moment = 0.000 μB per formula unit
1.0
4.952 -2.901 0.000
4.952 2.901 0.000
-3.316 0.000 7.439
Th U Ga Ru
2 1 1 6
direct
0.219 0.219 0.152
0.781 0.781 0.848
0.500 0.500 0.000
0.000 0.000 0.500
0.241 0.241 0.772
0.245 0.739 0.748
0.261 0.755 0.252
0.739 0.245 0.748
0.755 0.261 0.252
0.759 0.759 0.228

---

No. 16
YThGaRu | Alexandria via LeMat-Bulk | GGA-PBE | relaxed; symmetry = F-43m; E_form = -8.7 kcal/mol of atoms; total magnetic moment = 0.000 μB per formula unit
1.0
0.000 3.570 3.570
3.570 0.000 3.570
3.570 3.570 0.000
Y Th Ga Ru
1 1 1 1
direct
0.000 0.000 0.000
0.500 0.500 0.500
0.750 0.750 0.750
0.250 0.250 0.250

---

No. 17
Ti6Ga3Ru | Alexandria via LeMat-Bulk | GGA-PBE | relaxed; symmetry = P2_1/m; E_form = -10.1 kcal/mol of atoms; total magnetic moment = 0.000 μB per formula unit
1.0
7.606 0.000 0.000
0.000 4.552 0.000
-3.165 0.000 9.108
Ti Ga Ru
12 6 2
direct
0.043 0.250 0.411
0.158 0.750 0.188
0.260 0.250 0.009
0.345 0.250 0.311
0.356 0.750 0.800
0.437 0.250 0.618
0.563 0.750 0.382
0.644 0.250 0.200
0.655 0.750 0.689
0.740 0.750 0.991
0.842 0.250 0.812
0.957 0.750 0.589
0.043 0.750 0.887
0.143 0.250 0.713
0.273 0.750 0.484
0.727 0.250 0.516
0.857 0.750 0.287
0.957 0.250 0.113
0.451 0.750 0.097
0.549 0.250 0.903

---

No. 18
Ti8Ga2Ru | Alexandria via LeMat-Bulk | GGA-PBE | relaxed; symmetry = Immm; E_form = -6.8 kcal/mol of atoms; total magnetic moment = 0.001 μB per formula unit
1.0
-2.266 3.058 6.570
2.266 -3.058 6.570
2.266 3.058 -6.570
Ti Ga Ru
8 2 1
direct
0.132 0.362 0.770
0.175 0.175 0.000
0.265 0.000 0.265
0.408 0.638 0.770
0.592 0.362 0.230
0.735 0.000 0.735
0.825 0.825 0.000
0.868 0.638 0.230
0.312 0.812 0.500
0.688 0.188 0.500
0.000 0.500 0.500

---

No. 19
TiGa3Ru4 | Alexandria via LeMat-Bulk | GGA-PBE | relaxed; symmetry = I4/mmm; E_form = -11.3 kcal/mol of atoms; total magnetic moment = 0.000 μB per formula unit
1.0
-2.154 2.154 6.057
2.154 -2.154 6.057
2.154 2.154 -6.057
Ti Ga Ru
1 3 4
direct
0.000 0.000 0.000
0.249 0.249 0.000
0.500 0.500 0.000
0.751 0.751 0.000
0.128 0.628 0.500
0.372 0.872 0.500
0.628 0.128 0.500
0.872 0.372 0.500

---

No. 20
Ti2Ga3Ru | Alexandria via LeMat-Bulk | GGA-PBE | relaxed; symmetry = Immm; E_form = -2.5 kcal/mol of atoms; total magnetic moment = 0.000 μB per formula unit
1.0
-2.236 2.606 4.251
2.236 -2.606 4.251
2.236 2.606 -4.251
Ti Ga Ru
2 3 1
direct
0.173 0.173 0.000
0.827 0.827 0.000
0.000 0.500 0.500
0.344 0.844 0.500
0.656 0.156 0.500
0.500 0.500 0.000